(1)
Density functional theory data (PBE) for a relaxed TiSn2AsS crystal.

Output
total moment: 0.0 Bohr magnetons per cell
space group: P4/mmm
formation energy (no corrections): 0.289 eV per atom

a = 5.417 Å, b = 5.417 Å, c = 4.672 Å
α = 90.00°, β = 90.00°, γ = 90.00°
Fractional coordinates of all 5 atoms:
Ti  0.000  0.000  0.000
Sn  0.000  0.500  0.000
Sn  0.500  0.000  0.000
As  0.000  0.000  0.500
S  0.500  0.500  0.500



(2)
Density functional theory data (PBE) for a relaxed Hf4TiGa3 crystal.

Output
total moment: 0.0 Bohr magnetons per cell
space group: Pmm2
E_form: -2.62 eV/f.u.

a = 3.374 Å, b = 4.217 Å, c = 10.734 Å
α = 90.00°, β = 90.00°, γ = 90.00°
Fractional coordinates of all 8 atoms:
Hf  0.000  0.000  0.000
Hf  0.000  0.500  0.318
Hf  0.500  0.000  0.501
Hf  0.500  0.500  0.821
Ti  0.500  0.000  0.230
Ga  0.000  0.000  0.734
Ga  0.000  0.500  0.588
Ga  0.500  0.500  0.085



(3)
Density functional theory data (PBE) for a relaxed LiHoLuZn crystal.

Output
total moment: 0.0 Bohr magnetons per cell
space group: F-43m
E_form: -0.46 eV/f.u.

a = 5.040 Å, b = 5.040 Å, c = 5.040 Å
α = 60.00°, β = 60.00°, γ = 60.00°
Fractional coordinates of all 4 atoms:
Li  0.000  0.000  0.000
Ho  0.250  0.250  0.250
Lu  0.750  0.750  0.750
Zn  0.500  0.500  0.500



(4)
Density functional theory data (PBE) for a relaxed PrZrCdGa crystal.

Output
total moment: 0.0 Bohr magnetons per cell
space group: F-43m
E_form: -1.03 eV/f.u.

a = 5.124 Å, b = 5.124 Å, c = 5.124 Å
α = 60.00°, β = 60.00°, γ = 60.00°
Fractional coordinates of all 4 atoms:
Pr  0.000  0.000  0.000
Zr  0.500  0.500  0.500
Cd  0.250  0.250  0.250
Ga  0.750  0.750  0.750



(5)
Density functional theory data (PBE) for a relaxed AcSnRh crystal.

Output
excess energy over the best structure of this formula in the dataset: 0 meV per atom
total moment: 0.0 Bohr magnetons per cell
space group: Pnma
E_form: -2.35 eV/f.u.

a = 7.578 Å, b = 4.739 Å, c = 8.359 Å
α = 90.00°, β = 90.00°, γ = 90.00°
Fractional coordinates of all 12 atoms:
Ac  0.037  0.250  0.179
Ac  0.463  0.750  0.679
Ac  0.537  0.250  0.321
Ac  0.963  0.750  0.821
Sn  0.148  0.250  0.569
Sn  0.352  0.750  0.069
Sn  0.648  0.250  0.931
Sn  0.852  0.750  0.431
Rh  0.222  0.750  0.388
Rh  0.278  0.250  0.888
Rh  0.722  0.750  0.112
Rh  0.778  0.250  0.612



(6)
Density functional theory data (PBE) for a relaxed AcCd2Pb crystal.

Output
total moment: 0.0 Bohr magnetons per cell
space group: Cmcm
E_form: -1.22 eV/f.u.

a = 6.541 Å, b = 6.541 Å, c = 7.599 Å
α = 90.00°, β = 90.00°, γ = 133.02°
Fractional coordinates of all 8 atoms:
Ac  0.097  0.903  0.750
Ac  0.903  0.097  0.250
Cd  0.386  0.614  0.553
Cd  0.386  0.614  0.947
Cd  0.614  0.386  0.053
Cd  0.614  0.386  0.447
Pb  0.195  0.805  0.250
Pb  0.805  0.195  0.750



(7)
Density functional theory data (PBE) for a relaxed Cs3PuO3 crystal.

Output
total moment: 19.7 Bohr magnetons per cell
space group: Pnnm
formation energy (no corrections): -1.709 eV per atom

a = 11.576 Å, b = 11.601 Å, c = 6.053 Å
α = 90.00°, β = 90.00°, γ = 90.00°
Fractional coordinates of all 28 atoms:
Cs  0.128  0.128  0.000
Cs  0.128  0.872  0.500
Cs  0.147  0.353  0.500
Cs  0.353  0.853  0.000
Cs  0.372  0.372  0.000
Cs  0.372  0.628  0.500
Cs  0.628  0.372  0.500
Cs  0.628  0.628  0.000
Cs  0.647  0.147  0.000
Cs  0.853  0.647  0.500
Cs  0.872  0.128  0.500
Cs  0.872  0.872  0.000
Pu  0.108  0.608  0.000
Pu  0.392  0.108  0.500
Pu  0.608  0.892  0.500
Pu  0.892  0.392  0.000
O  0.085  0.415  0.000
O  0.103  0.788  0.000
O  0.211  0.103  0.500
O  0.289  0.603  0.000
O  0.397  0.288  0.500
O  0.415  0.915  0.500
O  0.585  0.085  0.500
O  0.603  0.712  0.500
O  0.711  0.397  0.000
O  0.789  0.897  0.500
O  0.897  0.212  0.000
O  0.915  0.585  0.000



(8)
Density functional theory data (PBE) for a relaxed ScPt2Au crystal.

Output
total moment: 0.0 Bohr magnetons per cell
space group: I-42d
E_form: -1.91 eV/f.u.

a = 5.881 Å, b = 5.881 Å, c = 5.881 Å
α = 103.06°, β = 103.06°, γ = 123.24°
Fractional coordinates of all 8 atoms:
Sc  0.000  0.000  0.000
Sc  0.750  0.250  0.500
Pt  0.115  0.125  0.490
Pt  0.375  0.885  0.010
Pt  0.635  0.625  0.510
Pt  0.875  0.365  0.990
Au  0.250  0.750  0.500
Au  0.500  0.500  0.000



(9)
Density functional theory data (PBE) for a relaxed TaCuBrCl2 crystal.

Output
total moment: 3.3 Bohr magnetons per cell
space group: P4/mmm
formation energy (no corrections): 0.584 eV per atom

a = 4.548 Å, b = 4.548 Å, c = 5.405 Å
α = 90.00°, β = 90.00°, γ = 90.00°
Fractional coordinates of all 5 atoms:
Ta  0.000  0.000  0.000
Cu  0.500  0.500  0.500
Br  0.500  0.500  0.000
Cl  0.000  0.500  0.500
Cl  0.500  0.000  0.500



(10)
Density functional theory data (PBE) for a relaxed Er12Ga6Co crystal.

Output
total moment: 0.0 Bohr magnetons per cell
space group: R-3
E_form: -3.91 eV/f.u.

a = 8.252 Å, b = 8.252 Å, c = 8.252 Å
α = 99.22°, β = 99.22°, γ = 99.22°
Fractional coordinates of all 19 atoms:
Er  0.033  0.932  0.688
Er  0.068  0.312  0.967
Er  0.183  0.570  0.431
Er  0.312  0.967  0.068
Er  0.430  0.569  0.817
Er  0.431  0.183  0.570
Er  0.569  0.817  0.430
Er  0.570  0.431  0.183
Er  0.688  0.033  0.932
Er  0.817  0.430  0.569
Er  0.932  0.688  0.033
Er  0.967  0.068  0.312
Ga  0.134  0.302  0.624
Ga  0.302  0.624  0.134
Ga  0.376  0.866  0.698
Ga  0.624  0.134  0.302
Ga  0.698  0.376  0.866
Ga  0.866  0.698  0.376
Co  0.000  0.000  0.000



(11)
Density functional theory data (PBE) for a relaxed Ac2MgSi3Ag4 crystal.

Output
total moment: 0.0 Bohr magnetons per cell
space group: P-4m2
formation energy (no corrections): -0.336 eV per atom

a = 4.447 Å, b = 4.447 Å, c = 11.129 Å
α = 90.00°, β = 90.00°, γ = 90.00°
Fractional coordinates of all 10 atoms:
Ac  0.000  0.500  0.236
Ac  0.500  0.000  0.764
Mg  0.000  0.000  0.500
Si  0.000  0.500  0.867
Si  0.500  0.000  0.133
Si  0.500  0.500  0.500
Ag  0.000  0.000  0.000
Ag  0.000  0.500  0.637
Ag  0.500  0.000  0.363
Ag  0.500  0.500  0.000



(12)
Density functional theory data (PBE) for a relaxed AlOs2SeS crystal.

Output
total moment: 0.0 Bohr magnetons per cell
space group: P4/mmm
formation energy (no corrections): 1.628 eV per atom

a = 4.656 Å, b = 4.656 Å, c = 4.231 Å
α = 90.00°, β = 90.00°, γ = 90.00°
Fractional coordinates of all 5 atoms:
Al  0.000  0.000  0.000
Os  0.000  0.500  0.000
Os  0.500  0.000  0.000
Se  0.500  0.500  0.500
S  0.000  0.000  0.500



(13)
Density functional theory data (PBE) for a relaxed WSe2Cl crystal.

Output
excess energy over the best structure of this formula in the dataset: 1061 meV per atom
total moment: 0.0 Bohr magnetons per cell
space group: Cmmm
formation energy (no corrections): 0.736 eV per atom

a = 5.062 Å, b = 5.062 Å, c = 3.351 Å
α = 90.00°, β = 90.00°, γ = 120.74°
Fractional coordinates of all 4 atoms:
W  0.000  0.000  0.000
Se  0.000  0.500  0.500
Se  0.500  0.000  0.500
Cl  0.500  0.500  0.000



(14)
Density functional theory data (PBE) for a relaxed PaB2O8 crystal.

Output
total moment: 5.0 Bohr magnetons per cell
space group: P-3m1
formation energy (no corrections): -1.711 eV per atom

a = 5.576 Å, b = 5.576 Å, c = 5.743 Å
α = 90.00°, β = 90.00°, γ = 120.00°
Fractional coordinates of all 11 atoms:
Pa  0.000  0.000  0.000
B  0.333  0.667  0.732
B  0.667  0.333  0.268
O  0.190  0.379  0.800
O  0.190  0.810  0.800
O  0.333  0.667  0.477
O  0.379  0.190  0.200
O  0.621  0.810  0.800
O  0.667  0.333  0.523
O  0.810  0.190  0.200
O  0.810  0.621  0.200



(15)
Density functional theory data (PBE) for a relaxed SrZr2MnSe crystal.

Output
total moment: 3.9 Bohr magnetons per cell
space group: P4/mmm
formation energy (no corrections): 1.663 eV per atom

a = 5.324 Å, b = 5.324 Å, c = 5.393 Å
α = 90.00°, β = 90.00°, γ = 90.00°
Fractional coordinates of all 5 atoms:
Sr  0.000  0.000  0.000
Zr  0.000  0.500  0.000
Zr  0.500  0.000  0.000
Mn  0.500  0.500  0.500
Se  0.000  0.000  0.500



(16)
Density functional theory data (PBE) for a relaxed K2Rb3F crystal.

Output
total moment: 0.0 Bohr magnetons per cell
space group: Cmcm
formation energy (no corrections): -0.837 eV per atom

a = 18.837 Å, b = 18.837 Å, c = 9.117 Å
α = 90.00°, β = 90.00°, γ = 165.80°
Fractional coordinates of all 12 atoms:
K  0.003  0.997  0.750
K  0.208  0.792  0.750
K  0.792  0.208  0.250
K  0.997  0.003  0.250
Rb  0.181  0.819  0.250
Rb  0.398  0.602  0.508
Rb  0.398  0.602  0.992
Rb  0.602  0.398  0.008
Rb  0.602  0.398  0.492
Rb  0.819  0.181  0.750
F  0.358  0.642  0.750
F  0.642  0.358  0.250



(17)
Density functional theory data (PBE) for a relaxed LaTbYZn crystal.

Output
total moment: 0.0 Bohr magnetons per cell
space group: P4mm
E_form: -0.64 eV/f.u.

a = 3.614 Å, b = 3.614 Å, c = 8.844 Å
α = 90.00°, β = 90.00°, γ = 90.00°
Fractional coordinates of all 4 atoms:
La  0.000  0.000  0.000
Tb  0.500  0.500  0.300
Y  0.500  0.500  0.697
Zn  0.000  0.000  0.499



(18)
Density functional theory data (PBE) for a relaxed Pm2Pr2SmY4 crystal.

Output
total moment: 0.0 Bohr magnetons per cell
space group: C2/m
E_form: -0.02 eV/f.u.

a = 9.668 Å, b = 9.668 Å, c = 9.730 Å
α = 115.23°, β = 115.23°, γ = 21.82°
Fractional coordinates of all 9 atoms:
Pm  0.148  0.148  0.164
Pm  0.852  0.852  0.836
Pr  0.334  0.334  0.499
Pr  0.666  0.666  0.501
Sm  0.000  0.000  0.500
Y  0.185  0.185  0.836
Y  0.481  0.481  0.166
Y  0.519  0.519  0.834
Y  0.815  0.815  0.164



(19)
Density functional theory data (PBE) for a relaxed AlCuNi crystal.

Output
excess energy over the best structure of this formula in the dataset: 70 meV per atom
total moment: 0.0 Bohr magnetons per cell
space group: P-1
E_form: -1.00 eV/f.u.

a = 3.370 Å, b = 4.528 Å, c = 5.479 Å
α = 107.90°, β = 90.03°, γ = 111.82°
Fractional coordinates of all 6 atoms:
Al  0.005  0.010  0.263
Al  0.995  0.990  0.737
Cu  0.333  0.666  0.915
Cu  0.667  0.334  0.085
Ni  0.336  0.670  0.416
Ni  0.664  0.330  0.584



(20)
Density functional theory data (PBE) for a relaxed MgGaSn3 crystal.

Output
excess energy over the best structure of this formula in the dataset: 360 meV per atom
total moment: 0.0 Bohr magnetons per cell
space group: Pm-3m
E_form: 1.91 eV/f.u.

a = 5.359 Å, b = 5.359 Å, c = 5.359 Å
α = 90.00°, β = 90.00°, γ = 90.00°
Fractional coordinates of all 5 atoms:
Mg  0.000  0.000  0.000
Ga  0.500  0.500  0.500
Sn  0.000  0.500  0.500
Sn  0.500  0.000  0.500
Sn  0.500  0.500  0.000



For each record above, in turn, the calculated DFT total energy values are -4.65; -7.43; -3.19; -4.57; -5.94; -2.72; -6.25; -5.90; -3.68; -4.42; -4.08; -5.14; -4.71; -7.39; -4.62; -2.00; -4.48; -5.52; -4.87; -2.94 eV per atom.
For each record above, in turn, the calculated DOS at the Fermi energy values are 3.467; 5.978; 4.815; 2.490; 6.022; 4.495; 34.934; 1.722; 6.861; 20.208; 5.160; 4.760; 3.321; 2.549; 6.141; 6.652; 5.718; 12.752; 2.755; 3.162 states/eV/cell.